First-principles (PBE) data for crystalline BaZrS2Cl at its relaxed geometry, as listed in the Alexandria database.

Calculated values
Volume = 181.97 Å³/cell
Calculated density = 2.994 g cm⁻³
Fermi-level density of states = 5.10 states/eV per cell
Raw formation energy = 0.0873 eV per atom

Cell: 5.713 5.713 5.576 Å, 90.00 90.00 90.00°
Fractional positions:
1 S 0.000 0.500 0.000
2 Ba 0.000 0.000 0.000
3 Cl 0.000 0.000 0.500
4 Zr 0.500 0.500 0.500
5 S 0.500 0.000 0.000

First-principles (PBE) data for crystalline BaZrSCl2 at its relaxed geometry, as listed in the Alexandria database.

Calculated values
Volume = 131.55 Å³/cell
Calculated density = 4.185 g cm⁻³
Fermi-level density of states = 2.31 states/eV per cell
Raw formation energy = -1.5944 eV per atom

Cell: 5.082 5.082 5.094 Å, 90.00 90.00 90.00°
Fractional positions:
1 Cl 0.000 0.500 0.000
2 Zr 0.000 0.000 0.000
3 S 0.000 0.000 0.500
4 Ba 0.500 0.500 0.500
5 Cl 0.500 0.000 0.000

First-principles (PBE) data for crystalline BaZrSCl2 at its relaxed geometry, as listed in the Alexandria database.

Calculated values
Volume = 197.14 Å³/cell
Calculated density = 2.792 g cm⁻³
Fermi-level density of states = 1.07 states/eV per cell
Raw formation energy = -0.3787 eV per atom

Cell: 5.674 5.674 6.124 Å, 90.00 90.00 90.00°
Fractional positions:
1 S 0.000 0.000 0.500
2 Zr 0.500 0.500 0.500
3 Ba 0.000 0.000 0.000
4 Cl 0.500 0.000 0.000
5 Cl 0.000 0.500 0.000